# ThAlS4 | Alexandria via LeMat-Bulk | PBE | optimized geometry
# M_tot = 0.00 μB/cell
# DFT total energy = -5.831 eV per atom
data_ThAlS4
_symmetry_space_group_name_H-M 'P m n a'
_symmetry_Int_Tables_number 53
_cell_length_a 5.3390
_cell_length_b 6.3909
_cell_length_c 7.1292
_cell_angle_alpha 90.00
_cell_angle_beta 90.00
_cell_angle_gamma 90.00
loop_
_symmetry_equiv_pos_as_xyz
'x,y,z'
'-x,-y,-z'
'-x+1/2,-y,z+1/2'
'x+1/2,y,-z+1/2'
'x,-y,-z'
'-x,y,z'
'-x+1/2,y,-z+1/2'
'x+1/2,-y,z+1/2'
loop_
_atom_site_label
_atom_site_fract_x
_atom_site_fract_y
_atom_site_fract_z
Th1 0.0000 0.0000 0.0000
Al1 0.0000 0.5000 0.5000
S1 0.0000 0.1783 0.3587
S2 0.2500 0.3252 0.7500